(1)
Computed, not measured: a relaxed In2TcAgSb crystal at the PBE level of DFT.

Values from the calculation:
**Total DFT energy (no corrections)**: -3.440 eV per atom
**Formation energy without anion corrections**: 5.6 eV/f.u.

a = 5.7108 Å, b = 5.0685 Å, c = 5.7108 Å
α = 90.00°, β = 90.00°, γ = 90.00°
With the nearest neighbours (Å) after each atom.
Atoms (fractional coordinates):
Tc: 0.0000 0.5000 0.0000  2 Sb 2.53
In: 0.0000 0.0000 0.5000  2 Sb 2.86
In: 0.5000 0.0000 0.0000  2 Sb 2.86
Sb: 0.0000 0.0000 0.0000  2 Tc 2.53
Ag: 0.5000 0.5000 0.5000  8 In 3.82, 4 Tc 4.04

---

(2)
Computed, not measured: a relaxed BaGeP2O crystal at the PBE level of DFT.

Values from the calculation:
**Total DFT energy (no corrections)**: -3.557 eV per atom
**Formation energy without anion corrections**: 4.5 eV/f.u.
**Energy relative to the lowest polymorph listed for this composition**: 1195 meV/atom

a = 5.8627 Å, b = 5.8627 Å, c = 4.3618 Å
α = 90.00°, β = 90.00°, γ = 90.00°
With the nearest neighbours (Å) after each atom.
Atoms (fractional coordinates):
P: 0.5000 0.0000 0.0000  2 Ba 2.93
P: 0.0000 0.5000 0.0000  2 Ba 2.93
Ge: 0.5000 0.5000 0.5000  8 P 3.65
O: 0.0000 0.0000 0.5000  2 Ba 2.18
Ba: 0.0000 0.0000 0.0000  2 O 2.18

---

(3)
Computed, not measured: a relaxed CaAc4Zn crystal at the PBE level of DFT.

Values from the calculation:
**Total DFT energy (no corrections)**: -3.348 eV per atom
**Calculated formation energy**: -0.06 eV/atom

a = 3.9385 Å, b = 3.9385 Å, c = 15.3250 Å
α = 90.00°, β = 90.00°, γ = 90.00°
With the nearest neighbours (Å) after each atom.
Atoms (fractional coordinates):
Ac: 0.5000 0.5000 0.1861  8 Ac 3.94-3.99, 4 Ca 3.99
Ac: 0.0000 0.0000 0.3723  4 Zn 3.40
Ac: 0.5000 0.5000 0.8139  8 Ac 3.94-3.99, 4 Ca 3.99
Ac: 0.0000 0.0000 0.6277  4 Zn 3.40
Zn: 0.5000 0.5000 0.5000  8 Ac 3.40
Ca: 0.0000 0.0000 0.0000  4 Ca 3.94, 8 Ac 3.99

---

(4)
Computed, not measured: a relaxed ErTh crystal at the PBE level of DFT.

Values from the calculation:
**Total DFT energy (no corrections)**: -5.954 eV per atom
**Calculated formation energy**: 0.04 eV/atom
**Energy relative to the lowest polymorph listed for this composition**: 31 meV/atom

a = 6.1106 Å, b = 6.1106 Å, c = 6.1106 Å
α = 33.66°, β = 33.66°, γ = 33.66°
With the nearest neighbours (Å) after each atom.
Atoms (fractional coordinates):
Th: 0.5000 0.5000 0.5000  6 Er 3.53, 6 Th 3.54
Er: 0.0000 0.0000 0.0000  6 Th 3.53, 6 Er 3.54

---

(5)
Computed, not measured: a relaxed TlCrTc2 crystal at the PBE level of DFT.

Values from the calculation:
**Total DFT energy (no corrections)**: -7.533 eV per atom
**Calculated formation energy**: 0.65 eV/atom
**Energy relative to the lowest polymorph listed for this composition**: 217 meV/atom

a = 4.0714 Å, b = 3.9756 Å, c = 3.9756 Å
α = 90.00°, β = 90.00°, γ = 90.00°
With the nearest neighbours (Å) after each atom.
Atoms (fractional coordinates):
Tl: 0.5000 0.5000 0.0000  4 Cr 2.81, 8 Tc 2.85
Tc: 0.0000 0.0000 0.0000  4 Tc 2.81, 4 Cr 2.85, 4 Tl 2.85
Tc: 0.0000 0.5000 0.5000  4 Tc 2.81, 4 Cr 2.85, 4 Tl 2.85
Cr: 0.5000 0.0000 0.5000  4 Tl 2.81, 8 Tc 2.85

---

(6)
Computed, not measured: a relaxed NdHo3Rh8 crystal at the PBE level of DFT.

Values from the calculation:
**Total DFT energy (no corrections)**: -7.141 eV per atom
**Calculated formation energy**: -0.70 eV/atom

a = 5.3458 Å, b = 5.3458 Å, c = 8.7556 Å
α = 90.00°, β = 90.00°, γ = 120.00°
With the nearest neighbours (Å) after each atom.
Atoms (fractional coordinates):
Rh: 0.5022 0.0044 0.7533  6 Rh 2.64-2.72
Rh: 0.1647 0.3294 0.2474  6 Rh 2.64-2.70
Rh: 0.3333 0.6667 0.4992  6 Rh 2.70-2.72
Rh: 0.6706 0.8353 0.2474  6 Rh 2.64-2.70
Rh: 0.1647 0.8353 0.2474  6 Rh 2.64-2.70
Rh: 0.5022 0.4978 0.7533  6 Rh 2.64-2.72
Rh: 0.3333 0.6667 0.0000  6 Rh 2.67
Rh: 0.9956 0.4978 0.7533  6 Rh 2.64-2.72
Ho: 0.6667 0.3333 0.0656  12 Rh 3.11-3.14, 4 Ho 3.20-3.29
Ho: 0.6667 0.3333 0.4310  12 Rh 3.12-3.21, 1 Ho 3.20, 3 Nd 3.31
Ho: 0.0000 0.0000 0.9348  12 Rh 3.11-3.14, 1 Nd 3.22, 3 Ho 3.29
Nd: 0.0000 0.0000 0.5675  12 Rh 3.13-3.19, 4 Ho 3.22-3.31

---

(7)
Computed, not measured: a relaxed NpBiTe crystal at the PBE level of DFT.

Values from the calculation:
**Total DFT energy (no corrections)**: -7.067 eV per atom
**Formation energy without anion corrections**: -1.2 eV/f.u.

a = 4.4323 Å, b = 4.4323 Å, c = 9.6810 Å
α = 103.23°, β = 103.23°, γ = 90.00°
With the nearest neighbours (Å) after each atom.
Atoms (fractional coordinates):
Np: 0.6443 0.6443 0.2885  5 Te 3.17-3.21, 4 Bi 3.45
Np: 0.3557 0.3557 0.7115  5 Te 3.17-3.21, 4 Bi 3.45
Bi: 0.0000 0.5000 0.0000  4 Bi 3.13, 4 Np 3.45
Bi: 0.5000 0.0000 0.0000  4 Bi 3.13, 4 Np 3.45
Te: 0.8174 0.8174 0.6348  5 Np 3.17-3.21
Te: 0.1826 0.1826 0.3652  5 Np 3.17-3.21

---

(8)
Computed, not measured: a relaxed K6AlO4 crystal at the PBE level of DFT.

Values from the calculation:
**Total DFT energy (no corrections)**: -4.212 eV per atom
**Formation energy without anion corrections**: -16.2 eV/f.u.

a = 6.4624 Å, b = 9.1087 Å, c = 9.1087 Å
α = 120.00°, β = 90.00°, γ = 90.00°
With the nearest neighbours (Å) after each atom.
Atoms (fractional coordinates):
O: 0.3275 0.7753 0.5505  1 Al 1.83
O: 0.8275 0.2247 0.7753  1 Al 1.83
O: 0.8275 0.2247 0.4495  1 Al 1.83
O: 0.3275 0.7753 0.2248  1 Al 1.83
O: 0.4459 0.3333 0.6667  1 Al 1.83
O: 0.3275 0.4495 0.2247  1 Al 1.83
O: 0.8275 0.5505 0.7753  1 Al 1.83
O: 0.9459 0.6667 0.3333  1 Al 1.83
K: 0.1342 0.4596 0.5404  3 O 2.72-2.83
K: 0.6342 0.9192 0.4596  3 O 2.72-2.83
K: 0.1342 0.0808 0.5404  3 O 2.72-2.83
K: 0.4773 0.1419 0.8581  1 O 2.61
K: 0.1342 0.4596 0.9192  3 O 2.72-2.83
K: 0.9773 0.8581 0.7162  1 O 2.61
K: 0.4773 0.7162 0.8581  1 O 2.61
K: 0.6342 0.5404 0.0808  3 O 2.72-2.83
K: 0.9773 0.8581 0.1419  1 O 2.61
K: 0.4773 0.1419 0.2838  1 O 2.61
K: 0.6342 0.5404 0.4596  3 O 2.72-2.83
K: 0.9773 0.2838 0.1419  1 O 2.61
Al: 0.2292 0.6667 0.3333  4 O 1.83
Al: 0.7292 0.3333 0.6667  4 O 1.83